Cr2PdRh: relaxed, PBE.

energy: -7.715 eV/atom
energy of formation from the pure elements: 0.23 eV per atom
space group: P4/mmm (123)
V: 56 Å³/cell

Structure (POSCAR):
```
Cr2PdRh
1.0
-0.040 1.667 -2.749
2.663 -1.523 -0.962
-3.022 -3.841 -2.285
Cr Rh Pd
2 1 1
direct
0.000 0.000 0.798
0.000 0.000 0.202
0.500 0.500 0.000
0.500 0.500 0.500
```


Cr4PdRh7: relaxed, PBE.

energy: -7.555 eV/atom
energy of formation from the pure elements: 0.37 eV per atom
space group: C2/m (12)
V: 180 Å³/cell

Structure (POSCAR):
```
Cr4PdRh7
1.0
-1.797 2.949 -3.079
-7.510 -1.924 -0.935
-2.606 4.510 2.365
Cr Pd Rh
4 1 7
direct
0.567 0.227 0.639
0.433 0.773 0.361
0.707 0.678 0.907
0.293 0.322 0.093
0.000 0.000 0.000
0.784 0.899 0.533
0.216 0.101 0.467
0.073 0.635 0.220
0.927 0.365 0.780
0.346 0.587 0.721
0.500 0.000 0.000
0.654 0.413 0.279
```


CrPd2Rh: relaxed, PBE.

energy: -6.527 eV/atom
energy of formation from the pure elements: 0.31 eV per atom
space group: Fm-3m (225)
V: 58 Å³/cell

Structure (POSCAR):
```
CrPd2Rh
1.0
0.000 3.065 3.065
3.065 0.000 3.065
3.065 3.065 0.000
Cr Rh Pd
1 1 2
direct
0.000 0.000 0.000
0.500 0.500 0.500
0.250 0.250 0.250
0.750 0.750 0.750
```


CrPd3Rh: relaxed, PBE.

excess energy over the best structure of this formula in the dataset: 0 meV per atom
energy: -5.412 eV/atom
energy of formation from the pure elements: 1.10 eV per atom
space group: Pm-3m (221)
V: 90 Å³/cell

Structure (POSCAR):
```
CrPd3Rh
1.0
-3.543 -0.803 -2.628
0.352 -4.385 0.865
-2.725 0.477 3.529
Cr Rh Pd
1 1 3
direct
0.000 0.000 0.000
0.500 0.500 0.500
0.000 0.500 0.000
0.000 0.000 0.500
0.500 0.000 0.000
```


CrPd2Rh: relaxed, PBE.

energy: -6.828 eV/atom
energy of formation from the pure elements: 0.01 eV per atom
space group: I4/mmm (139)
V: 59 Å³/cell

Structure (POSCAR):
```
CrPd2Rh
1.0
3.613 0.000 1.452
1.158 3.968 2.338
0.232 0.970 4.643
Cr Pd Rh
1 2 1
direct
0.000 0.500 0.500
0.250 0.750 0.750
0.750 0.250 0.250
0.500 0.000 0.000
```


CrPd2Rh5: relaxed, PBE.

energy: -7.146 eV/atom
energy of formation from the pure elements: -0.05 eV per atom
space group: I4/mmm (139)
V: 114 Å³/cell

Structure (POSCAR):
```
CrPd2Rh5
1.0
-1.923 3.283 0.452
-2.117 -1.619 2.753
7.170 1.456 3.703
Cr Pd Rh
1 2 5
direct
0.000 0.000 0.000
0.748 0.748 0.497
0.252 0.252 0.503
0.500 0.500 0.000
0.382 0.882 0.764
0.882 0.382 0.764
0.618 0.118 0.236
0.118 0.618 0.236
```


Cr2PdRh: relaxed, PBE.

energy: -7.803 eV/atom
energy of formation from the pure elements: 0.14 eV per atom
space group: R-3m (166)
V: 53 Å³/cell

Structure (POSCAR):
```
Cr2PdRh
1.0
2.654 0.000 0.000
1.327 2.298 0.000
1.327 0.766 8.701
Cr Rh Pd
2 1 1
direct
0.749 0.749 0.754
0.251 0.251 0.246
0.000 0.000 0.000
0.500 0.500 0.500
```


Cr2PdRh2: relaxed, PBE.

excess energy over the best structure of this formula in the dataset: 43 meV per atom
energy: -7.728 eV/atom
energy of formation from the pure elements: 0.10 eV per atom
space group: Imma (74)
V: 139 Å³/cell

Structure (POSCAR):
```
Cr2PdRh2
1.0
-2.089 -3.750 0.018
4.204 -2.331 2.377
-3.379 4.360 4.203
Cr Pd Rh
4 2 4
direct
0.810 0.332 0.121
0.810 0.789 0.121
0.190 0.211 0.879
0.190 0.668 0.879
0.371 0.121 0.242
0.629 0.879 0.758
0.628 0.378 0.756
0.000 0.750 0.501
0.000 0.250 0.499
0.372 0.622 0.244
```


Cr2PdRh: relaxed, PBE.

energy: -7.869 eV/atom
energy of formation from the pure elements: 0.08 eV per atom
space group: P4/mmm (123)
V: 53 Å³/cell

Structure (POSCAR):
```
Cr2PdRh
1.0
3.796 0.000 0.000
0.000 3.730 0.000
0.000 0.000 3.730
Cr Rh Pd
2 1 1
direct
0.000 0.000 0.500
0.000 0.500 0.000
0.500 0.000 0.000
0.500 0.500 0.500
```


Cr5PdRh6: relaxed, PBE.

energy: -8.183 eV/atom
energy of formation from the pure elements: -0.06 eV per atom
space group: Immm (71)
V: 163 Å³/cell

Structure (POSCAR):
```
Cr5PdRh6
1.0
3.659 -0.003 -1.025
-2.597 6.215 -2.241
0.016 0.098 7.098
Cr Rh Pd
5 6 1
direct
0.500 0.172 0.828
0.000 0.335 0.665
0.500 0.500 0.500
0.000 0.665 0.335
0.500 0.828 0.172
0.256 0.088 0.424
0.744 0.576 0.912
0.764 0.264 0.264
0.236 0.736 0.736
0.256 0.424 0.088
0.744 0.912 0.576
0.000 0.000 0.000
```


CrSbPdRh: relaxed, PBE.

energy: -6.738 eV/atom
raw formation energy: -0.17 eV per atom
space group: F-43m (216)
V: 65 Å³/cell

Structure (POSCAR):
```
CrSbPdRh
1.0
4.509 0.000 0.000
2.255 3.905 0.000
2.255 1.302 3.682
Sb Rh Pd Cr
1 1 1 1
direct
0.250 0.250 0.250
0.500 0.500 0.500
0.000 0.000 0.000
0.750 0.750 0.750
```


ZnCrPdRh: relaxed, PBE.

energy: -6.059 eV/atom
energy of formation from the pure elements: -0.20 eV per atom
space group: F-43m (216)
V: 57 Å³/cell

Structure (POSCAR):
```
ZnCrPdRh
1.0
-3.925 1.502 1.001
-3.065 -2.715 1.377
-1.286 0.106 4.123
Cr Zn Rh Pd
1 1 1 1
direct
0.000 0.000 0.000
0.500 0.500 0.500
0.250 0.250 0.250
0.750 0.750 0.750
```


CrPdRu2: relaxed, PBE.

energy: -7.809 eV/atom
energy of formation from the pure elements: 0.53 eV per atom
space group: I-42d (122)
V: 122 Å³/cell

Structure (POSCAR):
```
CrPdRu2
1.0
6.893 0.000 0.000
0.000 6.893 0.000
3.446 3.446 2.562
Ru Pd Cr
4 2 2
direct
0.570 0.125 0.250
0.180 0.625 0.250
0.375 0.430 0.750
0.875 0.820 0.750
0.000 0.000 0.000
0.750 0.250 0.500
0.500 0.500 0.000
0.250 0.750 0.500
```


CrPdRu: relaxed, PBE.

excess energy over the best structure of this formula in the dataset: 22 meV per atom
energy: -7.929 eV/atom
energy of formation from the pure elements: 0.10 eV per atom
space group: P3m1 (156)
V: 41 Å³/cell

Structure (POSCAR):
```
CrPdRu
1.0
-0.999 -2.051 -1.444
0.593 -0.350 2.610
-6.068 1.816 1.621
Ru Pd Cr
1 1 1
direct
0.333 0.667 0.645
0.000 0.000 0.012
0.667 0.333 0.343
```


CrPdRu: relaxed, PBE.

excess energy over the best structure of this formula in the dataset: 331 meV per atom
energy: -7.621 eV/atom
energy of formation from the pure elements: 0.41 eV per atom
space group: P-6m2 (187)
V: 43 Å³/cell

Structure (POSCAR):
```
CrPdRu
1.0
-0.081 -2.631 0.202
2.698 -0.345 -3.404
1.611 0.261 4.040
Ru Pd Cr
1 1 1
direct
0.166 0.333 0.667
0.167 0.000 0.000
0.667 0.667 0.333
```


CrPdRu: relaxed, PBE.

excess energy over the best structure of this formula in the dataset: 0 meV per atom
energy: -7.952 eV/atom
energy of formation from the pure elements: 0.08 eV per atom
space group: P-1 (2)
V: 166 Å³/cell

Structure (POSCAR):
```
CrPdRu
1.0
5.499 -0.195 -0.132
1.562 5.354 1.754
1.583 2.441 6.374
Pd Cr Ru
4 4 4
direct
0.248 0.493 0.998
0.752 0.007 0.502
0.752 0.507 0.002
0.248 0.993 0.498
0.056 0.479 0.665
0.056 0.979 0.165
0.944 0.521 0.335
0.944 0.021 0.835
0.609 0.480 0.659
0.609 0.980 0.159
0.391 0.520 0.341
0.391 0.020 0.841
```


CrPd2Ru: relaxed, PBE.

excess energy over the best structure of this formula in the dataset: 0 meV per atom
energy: -6.816 eV/atom
energy of formation from the pure elements: 0.50 eV per atom
space group: Fm-3m (225)
V: 58 Å³/cell

Structure (POSCAR):
```
CrPd2Ru
1.0
3.765 -0.137 -2.147
2.543 -3.499 0.303
0.460 -2.648 -3.403
Ru Pd Cr
1 2 1
direct
0.500 0.500 0.500
0.250 0.250 0.250
0.750 0.750 0.750
0.000 0.000 0.000
```


CrPdRu2: relaxed, PBE.

energy: -7.972 eV/atom
energy of formation from the pure elements: 0.37 eV per atom
space group: Fm-3m (225)
V: 56 Å³/cell

Structure (POSCAR):
```
CrPdRu2
1.0
-2.664 -3.267 0.780
-3.637 -0.382 -2.238
-0.426 -3.152 -2.875
Ru Pd Cr
2 1 1
direct
0.250 0.250 0.250
0.750 0.750 0.750
0.500 0.500 0.500
0.000 0.000 0.000
```


CrPdRu2: relaxed, PBE.

energy: -8.235 eV/atom
energy of formation from the pure elements: 0.11 eV per atom
space group: R-3m (166)
V: 55 Å³/cell

Structure (POSCAR):
```
CrPdRu2
1.0
2.700 0.000 0.000
1.350 2.338 0.000
1.350 0.779 8.759
Ru Pd Cr
2 1 1
direct
0.743 0.743 0.770
0.257 0.257 0.230
0.500 0.500 0.500
0.000 0.000 0.000
```


CrPdRu3: relaxed, PBE.

excess energy over the best structure of this formula in the dataset: 0 meV per atom
energy: -7.307 eV/atom
energy of formation from the pure elements: 1.22 eV per atom
space group: Pm-3m (221)
V: 85 Å³/cell

Structure (POSCAR):
```
CrPdRu3
1.0
4.397 0.000 0.000
0.000 4.397 0.000
0.000 0.000 4.397
Ru Pd Cr
3 1 1
direct
0.000 0.500 0.000
0.000 0.000 0.500
0.500 0.000 0.000
0.500 0.500 0.500
0.000 0.000 0.000
```


CrPdRu: relaxed, PBE.

excess energy over the best structure of this formula in the dataset: 4 meV per atom
energy: -7.948 eV/atom
energy of formation from the pure elements: 0.08 eV per atom
space group: I4mm (107)
V: 41 Å³/cell

Structure (POSCAR):
```
CrPdRu
1.0
2.710 0.000 0.000
0.000 2.710 0.000
-1.355 -1.355 5.619
Ru Pd Cr
1 1 1
direct
0.318 0.318 0.637
0.007 0.007 0.013
0.675 0.675 0.350
```


Cr4PdRu: relaxed, PBE.

energy: -8.776 eV/atom
energy of formation from the pure elements: 0.05 eV per atom
space group: F-43m (216)
V: 76 Å³/cell

Structure (POSCAR):
```
Cr4PdRu
1.0
-1.279 1.639 -4.266
2.947 -0.441 -3.693
-1.021 -3.037 -3.501
Ru Pd Cr
1 1 4
direct
0.000 0.000 0.000
0.250 0.250 0.250
0.624 0.624 0.128
0.624 0.128 0.624
0.624 0.624 0.624
0.128 0.624 0.624
```


CrPd2Ru: relaxed, PBE.

excess energy over the best structure of this formula in the dataset: 914 meV per atom
energy: -5.902 eV/atom
energy of formation from the pure elements: 1.42 eV per atom
space group: I-42d (122)
V: 165 Å³/cell

Structure (POSCAR):
```
CrPd2Ru
1.0
-2.436 0.110 -4.933
-1.814 -5.135 0.782
-6.669 -0.559 0.212
Ru Pd Cr
2 4 2
direct
0.000 0.000 0.000
0.750 0.250 0.500
0.609 0.125 0.250
0.141 0.625 0.250
0.375 0.391 0.750
0.875 0.859 0.750
0.500 0.500 0.000
0.250 0.750 0.500
```


Cr3PdRu: relaxed, PBE.

energy: -7.197 eV/atom
energy of formation from the pure elements: 1.47 eV per atom
space group: Pm-3m (221)
V: 85 Å³/cell

Structure (POSCAR):
```
Cr3PdRu
1.0
4.396 0.000 0.000
0.000 4.396 0.000
0.000 0.000 4.396
Ru Pd Cr
1 1 3
direct
0.000 0.000 0.000
0.500 0.500 0.500
0.000 0.500 0.000
0.000 0.000 0.500
0.500 0.000 0.000
```


Cr2Pd2Ru: relaxed, PBE.

energy: -7.472 eV/atom
energy of formation from the pure elements: 0.31 eV per atom
space group: P4/mbm (127)
V: 143 Å³/cell

Structure (POSCAR):
```
Cr2Pd2Ru
1.0
5.979 0.000 0.000
0.000 5.979 0.000
0.000 0.000 4.010
Ru Pd Cr
2 4 4
direct
0.000 0.000 0.000
0.500 0.500 0.000
0.175 0.675 0.500
0.675 0.825 0.500
0.825 0.325 0.500
0.325 0.175 0.500
0.379 0.879 0.000
0.879 0.621 0.000
0.621 0.121 0.000
0.121 0.379 0.000
```


CrPd2RuS: relaxed, PBE.

energy: -5.391 eV/atom
raw formation energy: 1.29 eV per atom
space group: P4/mmm (123)
V: 102 Å³/cell

Structure (POSCAR):
```
CrPd2RuS
1.0
-4.817 -1.010 0.301
0.858 -4.111 -0.066
0.311 -0.015 4.921
Ru S Pd Cr
1 1 2 1
direct
0.000 0.000 0.000
0.000 0.500 0.000
0.000 0.000 0.500
0.500 0.000 0.000
0.500 0.500 0.500
```


ScCrPd2Ru: relaxed, PBE.

energy: -6.161 eV/atom
energy of formation from the pure elements: 0.96 eV per atom
space group: P4/mmm (123)
V: 93 Å³/cell

Structure (POSCAR):
```
ScCrPd2Ru
1.0
4.485 0.000 0.000
0.000 4.627 0.000
0.000 0.000 4.485
Sc Ru Pd Cr
1 1 2 1
direct
0.000 0.500 0.000
0.500 0.500 0.500
0.000 0.000 0.500
0.500 0.000 0.000
0.000 0.000 0.000
```